No. 1
TaInAgTe2S | GGA-PBE | optimized geometry

```
12
Lattice="-5.6170 5.3593 0.8838 2.2730 -7.3916 -1.1185 0.1834 -1.4561 9.9949" Properties=species:S:1:pos:R:3 pbc="T T T"
Te -0.4992 -3.4539 4.2823
Te -2.5815 -0.6687 9.8314
Te -0.5791 -2.8197 -0.0713
Te -2.6614 -0.0344 5.4779
S -4.9569 3.4228 8.2474
S 1.7963 -6.9111 1.5128
In 0.3263 -5.1153 6.9066
In -3.4869 1.6269 2.8536
Ag -1.3580 -1.8135 2.3133
Ag -1.8026 -1.6749 7.4469
Ta 0.0917 -0.7280 4.9975
Ta 0.0000 0.0000 0.0000
```

Values from the calculation:
Magnetic moment in μB per formula unit: 0.66
Space-group type: Cmcm
Calculated total energy in eV per cell: -57.5

No. 2
TbInAg3S4 | GGA-PBE | optimized geometry

```
9
Lattice="6.1760 0.0000 0.0000 0.0000 6.1760 0.0000 0.0000 0.0000 6.1760" Properties=species:S:1:pos:R:3 pbc="T T T"
S 1.5741 4.6019 4.6019
S 4.6019 1.5741 4.6019
S 4.6019 4.6019 1.5741
S 1.5741 1.5741 1.5741
Ag 3.0880 3.0880 0.0000
Ag 3.0880 0.0000 3.0880
Ag 0.0000 3.0880 3.0880
In 0.0000 0.0000 0.0000
Tb 3.0880 3.0880 3.0880
```

Values from the calculation:
Magnetic moment in μB per formula unit: 0.25
Space-group type: P-43m
Calculated total energy in eV per cell: -37.2

No. 3
TbInAg3S4 | GGA-PBE | optimized geometry

```
18
Lattice="-6.3836 -0.7735 0.7823 1.2926 -3.4188 7.1676 0.2623 8.3711 3.9456" Properties=species:S:1:pos:R:3 pbc="T T T"
S -5.6230 -1.3534 2.6264
S -1.4255 -1.3381 8.6168
S 0.1315 3.5500 3.9274
S -2.7665 3.8328 6.8094
S -3.4032 5.5169 3.2787
S -2.0622 0.3460 5.0861
S -4.9602 0.6288 7.9680
S 0.7943 5.5322 9.2691
In -1.8075 -2.0129 6.1394
In -3.0212 6.1917 5.7561
Ag -1.0474 3.8914 8.8186
Ag -0.7201 2.3921 6.2992
Ag -3.7812 0.2874 3.0769
Ag -4.1086 1.7868 5.5963
Ag -0.2205 1.0708 9.0693
Ag -4.6082 3.1081 2.8262
Tb -4.1459 2.9391 8.9232
Tb -0.6828 1.2397 2.9723
```

Values from the calculation:
Magnetic moment in μB per formula unit: 0.01
Space-group type: P2_1/m
Calculated total energy in eV per cell: -74.3